i.
Below is Ac2CdH after structural relaxation, with properties calculated at the GGA-PBE level.

Values from the calculation:
**Space-group type**: R-3m
**ρ**: 7324 kg/m3

a b c (Å): 3.838 3.838 10.327
angles (deg): 79.29 79.29 60.00
Fractional positions:
H: 0.500 0.500 0.500
Ac: 0.114 0.114 0.657
Ac: 0.886 0.886 0.343
Cd: 0.000 0.000 0.000



ii.
Below is Ac2CdH after structural relaxation, with properties calculated at the GGA-PBE level.

Values from the calculation:
**Space-group type**: P4/mmm
**ρ**: 8355 kg/m3

a b c (Å): 3.755 3.755 8.000
angles (deg): 90.00 90.00 90.00
Fractional positions:
H: 0.500 0.500 0.000
Ac: 0.000 0.000 0.772
Ac: 0.000 0.000 0.228
Cd: 0.500 0.500 0.500



iii.
Below is Ac2CdH after structural relaxation, with properties calculated at the GGA-PBE level.

Values from the calculation:
**Space-group type**: Cm
**ρ**: 8103 kg/m3

a b c (Å): 4.013 4.013 8.664
angles (deg): 76.46 76.46 59.97
Fractional positions:
Ac: 0.063 0.063 0.812
Ac: 0.271 0.271 0.186
Cd: 0.500 0.500 0.500
H: 0.666 0.666 0.002



Most stable: iii (next structure +198 meV per atom)



i.
Below is Ac4Cd3Hg after structural relaxation, with properties calculated at the GGA-PBE level.

Values from the calculation:
**Space-group type**: Pmm2
**ρ**: 8808 kg/m3

a b c (Å): 4.050 5.139 13.096
angles (deg): 90.00 90.00 90.00
Fractional positions:
Ac: 0.500 0.500 0.344
Ac: 0.000 0.500 0.848
Ac: 0.000 0.000 0.152
Ac: 0.500 0.000 0.656
Cd: 0.000 0.500 0.567
Cd: 0.000 0.000 0.432
Cd: 0.500 0.000 0.930
Hg: 0.500 0.500 0.071



ii.
Below is Ac4Cd3Hg after structural relaxation, with properties calculated at the GGA-PBE level.

Values from the calculation:
**Space-group type**: P4/mmm
**ρ**: 8909 kg/m3

a b c (Å): 4.068 4.068 16.283
angles (deg): 90.00 90.00 90.00
Fractional positions:
Ac: 0.000 0.000 0.876
Ac: 0.000 0.000 0.124
Ac: 0.000 0.000 0.374
Ac: 0.000 0.000 0.626
Hg: 0.500 0.500 0.000
Cd: 0.500 0.500 0.250
Cd: 0.500 0.500 0.500
Cd: 0.500 0.500 0.750



Most stable: ii (next structure +35 meV per atom)



i.
Below is Ac2Cd2Hg after structural relaxation, with properties calculated at the GGA-PBE level.

Values from the calculation:
**Space-group type**: P-1
**ρ**: 9259 kg/m3

a b c (Å): 5.753 11.528 15.230
angles (deg): 19.01 79.12 75.65
Fractional positions:
Ac: 0.353 0.831 0.961
Ac: 0.851 0.332 0.461
Ac: 0.647 0.169 0.039
Ac: 0.149 0.668 0.539
Cd: 0.457 0.899 0.677
Cd: 0.039 0.601 0.823
Cd: 0.543 0.101 0.323
Cd: 0.961 0.399 0.177
Hg: 0.249 0.750 0.250
Hg: 0.751 0.250 0.750



ii.
Below is Ac2Cd2Hg after structural relaxation, with properties calculated at the GGA-PBE level.

Values from the calculation:
**Space-group type**: C2/m
**ρ**: 9142 kg/m3

a b c (Å): 5.051 6.426 11.018
angles (deg): 87.97 76.75 66.86
Fractional positions:
Ac: 0.688 0.284 0.339
Ac: 0.917 0.274 0.892
Ac: 0.312 0.716 0.661
Ac: 0.083 0.726 0.108
Cd: 0.074 0.288 0.563
Cd: 0.635 0.843 0.887
Cd: 0.926 0.712 0.437
Cd: 0.365 0.157 0.113
Hg: 0.612 0.117 0.659
Hg: 0.388 0.883 0.341



Most stable: ii (next structure +23 meV per atom)



i.
Below is AcCd6Hg2 after structural relaxation, with properties calculated at the GGA-PBE level.

Values from the calculation:
**Space-group type**: P4/mmm
**ρ**: 9596 kg/m3

a b c (Å): 4.548 4.548 10.898
angles (deg): 90.00 90.00 90.00
Fractional positions:
Ac: 0.000 0.000 0.000
Cd: 0.000 0.500 0.303
Cd: 0.500 0.000 0.303
Cd: 0.000 0.500 0.697
Cd: 0.500 0.000 0.697
Cd: 0.500 0.500 0.500
Cd: 0.000 0.000 0.500
Hg: 0.500 0.500 0.132
Hg: 0.500 0.500 0.868



ii.
Below is AcCd6Hg2 after structural relaxation, with properties calculated at the GGA-PBE level.

Values from the calculation:
**Space-group type**: C2/m
**ρ**: 9044 kg/m3

a b c (Å): 3.609 8.837 8.837
angles (deg): 60.77 78.43 78.43
Fractional positions:
Ac: 0.000 0.000 0.000
Cd: 0.320 0.006 0.354
Cd: 0.680 0.994 0.646
Cd: 0.680 0.646 0.994
Cd: 0.500 0.333 0.667
Cd: 0.500 0.667 0.333
Cd: 0.320 0.354 0.006
Hg: 0.129 0.357 0.357
Hg: 0.871 0.643 0.643



Most stable: i (next structure +93 meV per atom)



i.
Below is AcCd4Hg after structural relaxation, with properties calculated at the GGA-PBE level.

Values from the calculation:
**Space-group type**: F-43m
**ρ**: 9046 kg/m3

a b c (Å): 6.107 6.107 6.107
angles (deg): 60.00 60.00 60.00
Fractional positions:
Ac: 0.250 0.250 0.250
Hg: 0.000 0.000 0.000
Cd: 0.625 0.625 0.124
Cd: 0.625 0.124 0.625
Cd: 0.625 0.625 0.625
Cd: 0.124 0.625 0.625



ii.
Below is AcCd4Hg after structural relaxation, with properties calculated at the GGA-PBE level.

Values from the calculation:
**Space-group type**: P-1
**ρ**: 9084 kg/m3

a b c (Å): 5.139 5.241 6.914
angles (deg): 97.74 89.79 119.38
Fractional positions:
Ac: 0.004 0.499 0.998
Cd: 0.694 0.881 0.270
Cd: 0.314 0.118 0.726
Cd: 0.642 0.773 0.727
Cd: 0.366 0.226 0.269
Hg: 0.004 0.499 0.498



Most stable: ii (next structure +62 meV per atom)



i.
Below is Ac6CdHg2 after structural relaxation, with properties calculated at the GGA-PBE level.

Values from the calculation:
**Space-group type**: C2/m
**ρ**: 8403 kg/m3

a b c (Å): 5.577 7.926 9.681
angles (deg): 114.17 106.67 90.00
Fractional positions:
Ac: 0.167 0.419 0.335
Ac: 0.833 0.084 0.665
Ac: 0.833 0.581 0.665
Ac: 0.500 0.253 0.000
Ac: 0.167 0.916 0.335
Ac: 0.500 0.747 0.000
Cd: 0.000 0.000 0.000
Hg: 0.667 0.667 0.334
Hg: 0.333 0.333 0.666



ii.
Below is Ac6CdHg2 after structural relaxation, with properties calculated at the GGA-PBE level.

Values from the calculation:
**Space-group type**: Immm
**ρ**: 9055 kg/m3

a b c (Å): 9.637 9.637 9.637
angles (deg): 106.81 111.29 110.35
Fractional positions:
Ac: 0.553 0.731 0.822
Ac: 0.447 0.269 0.178
Ac: 0.091 0.269 0.822
Ac: 0.909 0.731 0.178
Ac: 0.805 0.750 0.556
Ac: 0.195 0.250 0.444
Ac: 0.195 0.750 0.945
Ac: 0.805 0.250 0.055
Ac: 0.714 0.387 0.673
Ac: 0.286 0.613 0.327
Ac: 0.286 0.959 0.673
Ac: 0.714 0.041 0.327
Cd: 0.000 0.500 0.500
Cd: 0.000 0.000 0.000
Hg: 0.500 0.370 0.870
Hg: 0.500 0.630 0.130
Hg: 0.650 0.000 0.650
Hg: 0.350 0.000 0.350



Most stable: ii (next structure +148 meV per atom)